Entry 1:
Here is CuIr4Br2 after structural relaxation from the Open Quantum Materials Database. Energies are from GGA-PBE.

## Properties
For the electronic total energy, the calculation gives -4.812 eV/atom. The crystal system is tetragonal.

abc: 5.350 5.350 5.350
angles: 106.93 106.93 114.69
Sites, in units of the cell vectors:
Cu: 0.000 0.000 0.000
Ir: 0.287 0.287 0.574
Ir: 0.287 0.713 0.000
Ir: 0.713 0.287 0.000
Ir: 0.713 0.713 0.426
Br: 0.250 0.750 0.500
Br: 0.750 0.250 0.500


Entry 2:
Here is Nd2Al8Fe9 after structural relaxation from the Open Quantum Materials Database. Energies are from GGA-PBE.

## Properties
For the electronic total energy, the calculation gives -6.346 eV/atom. The crystal system is trigonal.

abc: 6.577 6.577 6.577
angles: 83.73 83.73 83.73
Sites, in units of the cell vectors:
Nd: 0.140 0.140 0.140
Nd: 0.860 0.860 0.860
Al: 0.189 0.500 0.811
Al: 0.189 0.811 0.500
Al: 0.381 0.381 0.381
Al: 0.500 0.189 0.811
Al: 0.500 0.811 0.189
Al: 0.619 0.619 0.619
Al: 0.811 0.189 0.500
Al: 0.811 0.500 0.189
Fe: 0.000 0.500 0.500
Fe: 0.165 0.165 0.658
Fe: 0.165 0.658 0.165
Fe: 0.342 0.835 0.835
Fe: 0.500 0.000 0.500
Fe: 0.500 0.500 0.000
Fe: 0.658 0.165 0.165
Fe: 0.835 0.342 0.835
Fe: 0.835 0.835 0.342


Entry 3:
Here is Hf4InHgC2 after structural relaxation from the Open Quantum Materials Database. Energies are from GGA-PBE.

## Properties
For the electronic total energy, the calculation gives -8.328 eV/atom. The crystal system is hexagonal.

abc: 3.313 3.313 14.833
angles: 90.00 90.00 120.00
Sites, in units of the cell vectors:
Hf: 0.000 0.000 0.166
Hf: 0.000 0.000 0.834
Hf: 0.667 0.333 0.332
Hf: 0.667 0.333 0.668
In: 0.000 0.000 0.500
Hg: 0.667 0.333 0.000
C: 0.333 0.667 0.249
C: 0.333 0.667 0.751


Entry 4:
Here is NbGaNi2 after structural relaxation from the Open Quantum Materials Database. Energies are from GGA-PBE.

## Properties
For the electronic total energy, the calculation gives -6.280 eV/atom. The crystal system is cubic.

abc: 4.240 4.240 4.240
angles: 60.00 60.00 60.00
Sites, in units of the cell vectors:
Nb: 0.000 0.000 0.000
Ga: 0.250 0.250 0.250
Ni: 0.500 0.500 0.500
Ni: 0.750 0.750 0.750


Entry 5:
Here is LiMoCl6 after structural relaxation from the Open Quantum Materials Database. Energies are from GGA-PBE.

## Properties
For the electronic total energy, the calculation gives -3.942 eV/atom. The crystal system is cubic.

abc: 6.842 6.842 6.842
angles: 60.00 60.00 60.00
Sites, in units of the cell vectors:
Li: 0.000 0.000 0.000
Mo: 0.500 0.500 0.500
Cl: 0.259 0.259 0.741
Cl: 0.259 0.741 0.259
Cl: 0.259 0.741 0.741
Cl: 0.741 0.259 0.259
Cl: 0.741 0.259 0.741
Cl: 0.741 0.741 0.259


Entry 6:
Here is PmZnRe after structural relaxation from the Open Quantum Materials Database. Energies are from GGA-PBE.

## Properties
Its energy of formation from the pure elements is 704 meV per atom. For the electronic total energy, the calculation gives -5.440 eV/atom. The crystal system is cubic. The calculation puts the excess energy over the best structure of this formula in the dataset at 0 meV per atom.

abc: 4.520 4.520 4.520
angles: 60.00 60.00 60.00
Sites, in units of the cell vectors:
Pm: 0.000 0.000 0.000
Zn: 0.250 0.250 0.250
Re: 0.500 0.500 0.500


Entry 7:
Here is Y2CoNiSn4 after structural relaxation from the Open Quantum Materials Database. Energies are from GGA-PBE.

## Properties
For the electronic total energy, the calculation gives -5.660 eV/atom. The crystal system is orthorhombic.

abc: 4.453 9.483 9.483
angles: 26.38 90.00 90.00
Sites, in units of the cell vectors:
Y: 0.000 0.000 0.000
Y: 0.500 0.226 0.226
Co: 0.000 0.794 0.794
Ni: 0.500 0.437 0.437
Sn: 0.000 0.365 0.365
Sn: 0.000 0.662 0.662
Sn: 0.500 0.568 0.568
Sn: 0.500 0.861 0.861


Entry 8:
Here is LuZrFeAs after structural relaxation from the Open Quantum Materials Database. Energies are from GGA-PBE.

## Properties
For the electronic total energy, the calculation gives -6.388 eV/atom. The crystal system is cubic.

abc: 4.631 4.631 4.631
angles: 60.00 60.00 60.00
Sites, in units of the cell vectors:
Lu: 0.000 0.000 0.000
Zr: 0.250 0.250 0.250
Fe: 0.750 0.750 0.750
As: 0.500 0.500 0.500


Entry 9:
Here is Ga2CoNi after structural relaxation from the Open Quantum Materials Database. Energies are from GGA-PBE.

## Properties
For the electronic total energy, the calculation gives -4.706 eV/atom. The crystal system is cubic.

abc: 4.141 4.141 4.141
angles: 60.00 60.00 60.00
Sites, in units of the cell vectors:
Ga: 0.000 0.000 0.000
Ga: 0.250 0.250 0.250
Co: 0.750 0.750 0.750
Ni: 0.500 0.500 0.500


Entry 10:
Here is ErInCu after structural relaxation from the Open Quantum Materials Database. Energies are from GGA-PBE.

## Properties
For the electronic total energy, the calculation gives -3.942 eV/atom. The crystal system is hexagonal.

abc: 6.957 6.957 4.558
angles: 90.00 90.00 120.00
Sites, in units of the cell vectors:
Er: 0.000 0.563 0.000
Er: 0.437 0.437 0.000
Er: 0.563 0.000 0.000
In: 0.000 0.000 0.000
In: 0.333 0.667 0.500
In: 0.667 0.333 0.500
Cu: 0.000 0.227 0.500
Cu: 0.227 0.000 0.500
Cu: 0.773 0.773 0.500


Entry 11:
Here is Sm4Br3N2Cl2 after structural relaxation from the Open Quantum Materials Database. Energies are from GGA-PBE.

## Properties
For the electronic total energy, the calculation gives -5.580 eV/atom. The crystal system is monoclinic.

abc: 9.532 9.532 8.171
angles: 105.18 105.18 21.98
Sites, in units of the cell vectors:
Sm: 0.002 0.002 0.198
Sm: 0.337 0.337 0.894
Sm: 0.663 0.663 0.106
Sm: 0.998 0.998 0.802
Br: 0.168 0.168 0.817
Br: 0.500 0.500 0.500
Br: 0.832 0.832 0.183
N: 0.462 0.462 0.977
N: 0.538 0.538 0.023
Cl: 0.156 0.156 0.367
Cl: 0.844 0.844 0.633


Entry 12:
Here is Ba3Sm4O9 after structural relaxation from the Open Quantum Materials Database. Energies are from GGA-PBE.

## Properties
For the electronic total energy, the calculation gives -7.383 eV/atom. The crystal system is trigonal.

abc: 9.369 9.369 9.369
angles: 38.71 38.71 38.71
Sites, in units of the cell vectors:
Ba: 0.000 0.000 0.000
Ba: 0.166 0.166 0.166
Ba: 0.587 0.587 0.587
Sm: 0.300 0.300 0.300
Sm: 0.427 0.427 0.427
Sm: 0.739 0.739 0.739
Sm: 0.865 0.865 0.865
O: 0.002 0.584 0.162
O: 0.039 0.441 0.598
O: 0.123 0.561 0.731
O: 0.162 0.002 0.584
O: 0.441 0.598 0.039
O: 0.561 0.731 0.123
O: 0.584 0.162 0.002
O: 0.598 0.039 0.441
O: 0.731 0.123 0.561


Entry 13:
Here is YHoGeF2 after structural relaxation from the Open Quantum Materials Database. Energies are from GGA-PBE.

## Properties
For the electronic total energy, the calculation gives -6.352 eV/atom. The crystal system is trigonal.

abc: 4.011 4.011 6.575
angles: 90.00 90.00 120.00
Sites, in units of the cell vectors:
Y: 0.000 0.000 0.000
Ho: 0.333 0.667 0.510
Ge: 0.667 0.333 0.754
F: 0.000 0.000 0.358
F: 0.333 0.667 0.159


Entry 14:
Here is HoSi2Ir after structural relaxation from the Open Quantum Materials Database. Energies are from GGA-PBE.

## Properties
For the electronic total energy, the calculation gives -6.792 eV/atom. The crystal system is orthorhombic.

abc: 4.049 6.200 5.444
angles: 90.00 90.00 90.00
Sites, in units of the cell vectors:
Ho: 0.000 0.081 0.000
Ho: 0.500 0.919 0.500
Si: 0.000 0.264 0.494
Si: 0.000 0.641 0.288
Si: 0.500 0.359 0.788
Si: 0.500 0.736 0.994
Ir: 0.000 0.594 0.761
Ir: 0.500 0.406 0.261


Entry 15:
Here is Be2Tc2W after structural relaxation from the Open Quantum Materials Database. Energies are from GGA-PBE.

## Properties
For the electronic total energy, the calculation gives -8.479 eV/atom. The crystal system is tetragonal.

abc: 6.258 6.258 3.057
angles: 90.00 90.00 90.00
Sites, in units of the cell vectors:
Be: 0.119 0.381 0.000
Be: 0.381 0.881 0.000
Be: 0.619 0.119 0.000
Be: 0.881 0.619 0.000
Tc: 0.175 0.675 0.500
Tc: 0.325 0.175 0.500
Tc: 0.675 0.825 0.500
Tc: 0.825 0.325 0.500
W: 0.000 0.000 0.000
W: 0.500 0.500 0.000


Entry 16:
Here is Sm5InGa2 after structural relaxation from the Open Quantum Materials Database. Energies are from GGA-PBE.

## Properties
For the electronic total energy, the calculation gives -4.492 eV/atom. The crystal system is tetragonal.

abc: 9.255 9.255 9.255
angles: 129.66 129.66 73.96
Sites, in units of the cell vectors:
Sm: 0.000 0.000 0.000
Sm: 0.026 0.526 0.840
Sm: 0.185 0.026 0.500
Sm: 0.315 0.815 0.840
Sm: 0.474 0.315 0.500
Sm: 0.500 0.500 0.000
Sm: 0.526 0.685 0.500
Sm: 0.685 0.185 0.160
Sm: 0.815 0.974 0.500
Sm: 0.974 0.474 0.160
In: 0.250 0.250 0.000
In: 0.750 0.750 0.000
Ga: 0.120 0.380 0.500
Ga: 0.380 0.880 0.259
Ga: 0.620 0.120 0.741
Ga: 0.880 0.620 0.500


Entry 17:
Here is GdNi3Pt2 after structural relaxation from the Open Quantum Materials Database. Energies are from GGA-PBE.

## Properties
Its energy of formation from the pure elements is -532 meV per atom. For the electronic total energy, the calculation gives -6.111 eV/atom. The crystal system is hexagonal.

abc: 5.101 5.101 4.181
angles: 90.00 90.00 120.00
Sites, in units of the cell vectors:
Gd: 0.000 0.000 0.000
Ni: 0.000 0.500 0.500
Ni: 0.500 0.000 0.500
Ni: 0.500 0.500 0.500
Pt: 0.333 0.667 0.000
Pt: 0.667 0.333 0.000


Entry 18:
Here is Ba2CoTcS6 after structural relaxation from the Open Quantum Materials Database. Energies are from GGA-PBE.

## Properties
For the electronic total energy, the calculation gives -5.414 eV/atom. The crystal system is cubic. The calculation puts the excess energy over the best structure of this formula in the dataset at 80 meV per atom.

abc: 6.671 6.671 6.671
angles: 60.00 60.00 60.00
Sites, in units of the cell vectors:
Ba: 0.250 0.250 0.250
Ba: 0.750 0.750 0.750
Co: 0.000 0.000 0.000
Tc: 0.500 0.500 0.500
S: 0.246 0.246 0.754
S: 0.246 0.754 0.246
S: 0.246 0.754 0.754
S: 0.754 0.246 0.246
S: 0.754 0.246 0.754
S: 0.754 0.754 0.246


Entry 19:
Here is Ga2PtI4Br2Cl2 after structural relaxation from the Open Quantum Materials Database. Energies are from GGA-PBE.

## Properties
For the electronic total energy, the calculation gives -2.927 eV/atom. The crystal system is monoclinic. The calculation puts the excess energy over the best structure of this formula in the dataset at 0 meV per atom.

abc: 8.061 8.061 7.803
angles: 94.27 94.27 68.66
Sites, in units of the cell vectors:
Ga: 0.220 0.220 0.338
Ga: 0.780 0.780 0.662
Pt: 0.000 0.000 0.000
I: 0.088 0.682 0.845
I: 0.318 0.912 0.155
I: 0.682 0.088 0.845
I: 0.912 0.318 0.155
Br: 0.188 0.188 0.625
Br: 0.812 0.812 0.375
Cl: 0.378 0.378 0.293
Cl: 0.622 0.622 0.707


Entry 20:
Here is La2Ga12Pd after structural relaxation from the Open Quantum Materials Database. Energies are from GGA-PBE.

## Properties
For the electronic total energy, the calculation gives -3.892 eV/atom. The crystal system is tetragonal.

abc: 6.162 6.162 15.662
angles: 90.00 90.00 90.00
Sites, in units of the cell vectors:
La: 0.250 0.750 0.246
La: 0.250 0.750 0.754
La: 0.750 0.250 0.246
La: 0.750 0.250 0.754
Ga: 0.000 0.000 0.088
Ga: 0.000 0.000 0.912
Ga: 0.000 0.500 0.088
Ga: 0.000 0.500 0.912
Ga: 0.071 0.571 0.429
Ga: 0.071 0.929 0.571
Ga: 0.250 0.250 0.184
Ga: 0.250 0.250 0.342
Ga: 0.250 0.250 0.658
Ga: 0.250 0.250 0.816
Ga: 0.429 0.571 0.571
Ga: 0.429 0.929 0.429
Ga: 0.500 0.000 0.088
Ga: 0.500 0.000 0.912
Ga: 0.500 0.500 0.088
Ga: 0.500 0.500 0.912
Ga: 0.571 0.071 0.571
Ga: 0.571 0.429 0.429
Ga: 0.750 0.750 0.184
Ga: 0.750 0.750 0.342
Ga: 0.750 0.750 0.658
Ga: 0.750 0.750 0.816
Ga: 0.929 0.071 0.429
Ga: 0.929 0.429 0.571
Pd: 0.250 0.750 0.000
Pd: 0.750 0.250 0.000